# Hf4Nb2Os | Alexandria via LeMat-Bulk | PBE-GGA | optimized geometry
# total magnetization	0.000	μB/atom
# Fermi-level density of states	17.696	states/eV per cell
# DFT formation energy	5.513	eV per formula unit
# E_tot	-9.381	eV/atom
data_Hf4Nb2Os
_chemical_formula_sum 'Hf8 Nb4 Os2'
_symmetry_space_group_name_H-M 'I 4/m m m'
_symmetry_Int_Tables_number 139
_symmetry_space_group_name_Hall '-I 4 2'
_cell_length_a 5.075
_cell_length_b 5.075
_cell_length_c 13.208
_cell_angle_alpha 90.00
_cell_angle_beta 90.00
_cell_angle_gamma 90.00
loop_
_atom_site_label
_atom_site_type_symbol
_atom_site_fract_x
_atom_site_fract_y
_atom_site_fract_z
Hf1 Hf 0.000 0.000 0.192
Hf2 Hf 0.000 0.500 0.000
Nb1 Nb 0.000 0.000 0.396
Os1 Os 0.000 0.000 0.000